# 1
VASP calculation (PBE-GGA) on crystalline K2Mg5Sn4 at its relaxed geometry.

uncorrected energy	-27.21	eV/cell
formation energy from the elements	-93	meV/atom
spin magnetization	0.00	μB per cell
SG	Fmmm (69)

CIF file:
```
data_K2Mg5Sn4
_cell_length_a 6.674
_cell_length_b 6.897
_cell_length_c 9.089
_cell_angle_alpha 79.77
_cell_angle_beta 68.46
_cell_angle_gamma 61.07
_symmetry_space_group_name_H-M 'P 1'
_symmetry_Int_Tables_number 1
_symmetry_space_group_name_Hall 'P 1'
loop_
_atom_site_label
_atom_site_type_symbol
_atom_site_fract_x
_atom_site_fract_y
_atom_site_fract_z
_atom_site_occupancy
K1 K 0.149 0.000 0.701 1
K2 K 0.851 0.000 0.299 1
Mg1 Mg 0.250 0.500 0.500 1
Mg2 Mg 0.500 0.500 0.000 1
Mg3 Mg 0.000 0.500 0.000 1
Mg4 Mg 0.750 0.500 0.500 1
Mg5 Mg 0.500 0.000 0.000 1
Sn1 Sn 0.495 0.277 0.734 1
Sn2 Sn 0.229 0.277 0.266 1
Sn3 Sn 0.771 0.723 0.734 1
Sn4 Sn 0.505 0.723 0.266 1
```

***

# 2
VASP calculation (PBE-GGA) on crystalline KMg14Sn at its relaxed geometry.

uncorrected energy	-26.30	eV/cell
formation energy from the elements	70	meV/atom
spin magnetization	0.00	μB per cell
SG	P-6m2 (187)

CIF file:
```
data_KMg14Sn
_cell_length_a 6.593
_cell_length_b 6.593
_cell_length_c 10.476
_cell_angle_alpha 90.00
_cell_angle_beta 90.00
_cell_angle_gamma 120.00
_symmetry_space_group_name_H-M 'P 1'
_symmetry_Int_Tables_number 1
_symmetry_space_group_name_Hall 'P 1'
loop_
_atom_site_label
_atom_site_type_symbol
_atom_site_fract_x
_atom_site_fract_y
_atom_site_fract_z
_atom_site_occupancy
Mg1 Mg 0.497 0.994 0.500 1
Mg2 Mg 0.505 0.010 0.000 1
Mg3 Mg 0.505 0.495 0.000 1
Mg4 Mg 0.172 0.343 0.764 1
Mg5 Mg 0.667 0.333 0.746 1
Mg6 Mg 0.990 0.495 0.000 1
Mg7 Mg 0.006 0.503 0.500 1
Mg8 Mg 0.172 0.828 0.764 1
Mg9 Mg 0.497 0.503 0.500 1
Mg10 Mg 0.657 0.828 0.764 1
Mg11 Mg 0.172 0.343 0.236 1
Mg12 Mg 0.172 0.828 0.236 1
Mg13 Mg 0.657 0.828 0.236 1
Mg14 Mg 0.667 0.333 0.254 1
K1 K 0.000 0.000 0.500 1
Sn1 Sn 0.000 0.000 0.000 1
```

***

# 3
VASP calculation (PBE-GGA) on crystalline KMgSn3 at its relaxed geometry.

uncorrected energy	-9.34	eV/cell
formation energy from the elements	1072	meV/atom
spin magnetization	0.00	μB per cell
SG	Pm-3m (221)

CIF file:
```
data_KMgSn3
_cell_length_a 5.901
_cell_length_b 5.901
_cell_length_c 5.901
_cell_angle_alpha 90.00
_cell_angle_beta 90.00
_cell_angle_gamma 90.00
_symmetry_space_group_name_H-M 'P 1'
_symmetry_Int_Tables_number 1
_symmetry_space_group_name_Hall 'P 1'
loop_
_atom_site_label
_atom_site_type_symbol
_atom_site_fract_x
_atom_site_fract_y
_atom_site_fract_z
_atom_site_occupancy
Sn1 Sn 0.000 0.000 0.500 1
Sn2 Sn 0.000 0.500 0.000 1
Sn3 Sn 0.500 0.000 0.000 1
Mg1 Mg 0.500 0.500 0.500 1
K1 K 0.000 0.000 0.000 1
```

***

# 4
VASP calculation (PBE-GGA) on crystalline KMg6Sn4 at its relaxed geometry.

uncorrected energy	-28.63	eV/cell
formation energy from the elements	-177	meV/atom
spin magnetization	0.00	μB per cell
SG	P-6m2 (187)

CIF file:
```
data_KMg6Sn4
_cell_length_a 4.553
_cell_length_b 8.622
_cell_length_c 8.622
_cell_angle_alpha 120.00
_cell_angle_beta 90.00
_cell_angle_gamma 90.00
_symmetry_space_group_name_H-M 'P 1'
_symmetry_Int_Tables_number 1
_symmetry_space_group_name_Hall 'P 1'
loop_
_atom_site_label
_atom_site_type_symbol
_atom_site_fract_x
_atom_site_fract_y
_atom_site_fract_z
_atom_site_occupancy
Mg1 Mg 0.000 0.535 0.070 1
Mg2 Mg 0.000 0.930 0.465 1
Mg3 Mg 0.500 0.202 0.405 1
Mg4 Mg 0.500 0.202 0.798 1
Mg5 Mg 0.500 0.595 0.798 1
Mg6 Mg 0.000 0.535 0.465 1
Sn1 Sn 0.500 0.392 0.196 1
Sn2 Sn 0.500 0.804 0.608 1
Sn3 Sn 0.500 0.804 0.196 1
Sn4 Sn 0.000 0.333 0.667 1
K1 K 0.000 0.000 0.000 1
```

***

# 5
VASP calculation (PBE-GGA) on crystalline KMg14Sn at its relaxed geometry.

uncorrected energy	-26.53	eV/cell
formation energy from the elements	56	meV/atom
spin magnetization	0.00	μB per cell
SG	Amm2 (38)

CIF file:
```
data_KMg14Sn
_cell_length_a 6.480
_cell_length_b 6.480
_cell_length_c 10.532
_cell_angle_alpha 90.00
_cell_angle_beta 90.00
_cell_angle_gamma 117.64
_symmetry_space_group_name_H-M 'P 1'
_symmetry_Int_Tables_number 1
_symmetry_space_group_name_Hall 'P 1'
loop_
_atom_site_label
_atom_site_type_symbol
_atom_site_fract_x
_atom_site_fract_y
_atom_site_fract_z
_atom_site_occupancy
Mg1 Mg 0.672 0.844 0.761 1
Mg2 Mg 0.659 0.341 0.742 1
Mg3 Mg 0.831 0.169 0.000 1
Mg4 Mg 0.858 0.677 0.500 1
Mg5 Mg 0.339 0.168 0.000 1
Mg6 Mg 0.160 0.840 0.239 1
Mg7 Mg 0.659 0.341 0.258 1
Mg8 Mg 0.832 0.661 0.000 1
Mg9 Mg 0.335 0.665 0.000 1
Mg10 Mg 0.323 0.142 0.500 1
Mg11 Mg 0.156 0.328 0.761 1
Mg12 Mg 0.160 0.840 0.761 1
Mg13 Mg 0.672 0.844 0.239 1
Mg14 Mg 0.156 0.328 0.239 1
K1 K 0.348 0.652 0.500 1
Sn1 Sn 0.839 0.161 0.500 1
```

***

# 6
VASP calculation (PBE-GGA) on crystalline KMg3Sn2 at its relaxed geometry.

uncorrected energy	-30.26	eV/cell
formation energy from the elements	-207	meV/atom
spin magnetization	0.00	μB per cell
SG	C2/m (12)

CIF file:
```
data_KMg3Sn2
_cell_length_a 4.803
_cell_length_b 9.202
_cell_length_c 9.076
_cell_angle_alpha 112.74
_cell_angle_beta 90.00
_cell_angle_gamma 105.13
_symmetry_space_group_name_H-M 'P 1'
_symmetry_Int_Tables_number 1
_symmetry_space_group_name_Hall 'P 1'
loop_
_atom_site_label
_atom_site_type_symbol
_atom_site_fract_x
_atom_site_fract_y
_atom_site_fract_z
_atom_site_occupancy
Sn1 Sn 0.182 0.364 0.667 1
Sn2 Sn 0.475 0.950 0.827 1
Sn3 Sn 0.525 0.050 0.173 1
Sn4 Sn 0.818 0.636 0.333 1
Mg1 Mg 0.683 0.366 0.447 1
Mg2 Mg 0.964 0.928 0.643 1
Mg3 Mg 0.036 0.072 0.357 1
Mg4 Mg 0.592 0.184 0.678 1
Mg5 Mg 0.317 0.634 0.553 1
Mg6 Mg 0.408 0.816 0.322 1
K1 K 0.154 0.307 0.066 1
K2 K 0.846 0.693 0.934 1
```

***

# 7
VASP calculation (PBE-GGA) on crystalline KMg3Sn2 at its relaxed geometry.

uncorrected energy	-29.74	eV/cell
formation energy from the elements	-164	meV/atom
spin magnetization	0.00	μB per cell
SG	Immm (71)

CIF file:
```
data_KMg3Sn2
_cell_length_a 5.008
_cell_length_b 9.129
_cell_length_c 9.128
_cell_angle_alpha 57.49
_cell_angle_beta 74.08
_cell_angle_gamma 74.08
_symmetry_space_group_name_H-M 'P 1'
_symmetry_Int_Tables_number 1
_symmetry_space_group_name_Hall 'P 1'
loop_
_atom_site_label
_atom_site_type_symbol
_atom_site_fract_x
_atom_site_fract_y
_atom_site_fract_z
_atom_site_occupancy
Mg1 Mg 0.000 0.333 0.667 1
Mg2 Mg 0.328 0.473 0.870 1
Mg3 Mg 0.328 0.870 0.473 1
Mg4 Mg 0.672 0.527 0.130 1
Mg5 Mg 0.000 0.667 0.333 1
Mg6 Mg 0.672 0.130 0.527 1
K1 K 0.867 0.133 0.133 1
K2 K 0.133 0.867 0.867 1
Sn1 Sn 0.185 0.315 0.315 1
Sn2 Sn 0.815 0.685 0.685 1
Sn3 Sn 0.500 0.166 0.834 1
Sn4 Sn 0.500 0.834 0.166 1
```

***

# 8
VASP calculation (PBE-GGA) on crystalline KMg5Sn2 at its relaxed geometry.

uncorrected energy	-18.27	eV/cell
formation energy from the elements	-149	meV/atom
spin magnetization	0.00	μB per cell
SG	Immm (71)

CIF file:
```
data_KMg5Sn2
_cell_length_a 4.595
_cell_length_b 7.465
_cell_length_c 7.465
_cell_angle_alpha 69.98
_cell_angle_beta 72.07
_cell_angle_gamma 72.07
_symmetry_space_group_name_H-M 'P 1'
_symmetry_Int_Tables_number 1
_symmetry_space_group_name_Hall 'P 1'
loop_
_atom_site_label
_atom_site_type_symbol
_atom_site_fract_x
_atom_site_fract_y
_atom_site_fract_z
_atom_site_occupancy
Sn1 Sn 0.254 0.246 0.246 1
Sn2 Sn 0.746 0.754 0.754 1
Mg1 Mg 0.354 0.829 0.462 1
Mg2 Mg 0.646 0.538 0.171 1
Mg3 Mg 0.000 0.500 0.500 1
Mg4 Mg 0.646 0.171 0.538 1
Mg5 Mg 0.354 0.462 0.829 1
K1 K 0.000 0.000 0.000 1
```

***

# 9
VASP calculation (PBE-GGA) on crystalline KMgSn4 at its relaxed geometry.

uncorrected energy	-19.29	eV/cell
formation energy from the elements	-97	meV/atom
spin magnetization	0.00	μB per cell
SG	P6/mmm (191)

CIF file:
```
data_KMgSn4
_cell_length_a 5.286
_cell_length_b 5.286
_cell_length_c 7.661
_cell_angle_alpha 90.00
_cell_angle_beta 90.00
_cell_angle_gamma 120.00
_symmetry_space_group_name_H-M 'P 1'
_symmetry_Int_Tables_number 1
_symmetry_space_group_name_Hall 'P 1'
loop_
_atom_site_label
_atom_site_type_symbol
_atom_site_fract_x
_atom_site_fract_y
_atom_site_fract_z
_atom_site_occupancy
Sn1 Sn 0.333 0.667 0.196 1
Sn2 Sn 0.667 0.333 0.196 1
Sn3 Sn 0.333 0.667 0.804 1
Sn4 Sn 0.667 0.333 0.804 1
Mg1 Mg 0.000 0.000 0.000 1
K1 K 0.000 0.000 0.500 1
```

***

# 10
VASP calculation (PBE-GGA) on crystalline KMg6Sn6 at its relaxed geometry.

uncorrected energy	-36.16	eV/cell
formation energy from the elements	-114	meV/atom
spin magnetization	0.00	μB per cell
SG	Immm (71)

CIF file:
```
data_KMg6Sn6
_cell_length_a 6.186
_cell_length_b 7.969
_cell_length_c 7.969
_cell_angle_alpha 76.44
_cell_angle_beta 67.16
_cell_angle_gamma 67.16
_symmetry_space_group_name_H-M 'P 1'
_symmetry_Int_Tables_number 1
_symmetry_space_group_name_Hall 'P 1'
loop_
_atom_site_label
_atom_site_type_symbol
_atom_site_fract_x
_atom_site_fract_y
_atom_site_fract_z
_atom_site_occupancy
K1 K 0.000 0.000 0.000 1
Sn1 Sn 0.000 0.652 0.348 1
Sn2 Sn 0.330 0.170 0.170 1
Sn3 Sn 0.000 0.348 0.652 1
Sn4 Sn 0.670 0.830 0.830 1
Sn5 Sn 0.339 0.661 0.661 1
Sn6 Sn 0.661 0.339 0.339 1
Mg1 Mg 0.500 0.753 0.247 1
Mg2 Mg 0.000 0.000 0.500 1
Mg3 Mg 0.500 0.000 0.500 1
Mg4 Mg 0.500 0.247 0.753 1
Mg5 Mg 0.500 0.500 0.000 1
Mg6 Mg 0.000 0.500 0.000 1
```

***

What did the ninth record say?
VASP calculation (PBE-GGA) on crystalline KMgSn4 at its relaxed geometry.

uncorrected energy	-19.29	eV/cell
formation energy from the elements	-97	meV/atom
spin magnetization	0.00	μB per cell
SG	P6/mmm (191)

CIF file:
```
data_KMgSn4
_cell_length_a 5.286
_cell_length_b 5.286
_cell_length_c 7.661
_cell_angle_alpha 90.00
_cell_angle_beta 90.00
_cell_angle_gamma 120.00
_symmetry_space_group_name_H-M 'P 1'
_symmetry_Int_Tables_number 1
_symmetry_space_group_name_Hall 'P 1'
loop_
_atom_site_label
_atom_site_type_symbol
_atom_site_fract_x
_atom_site_fract_y
_atom_site_fract_z
_atom_site_occupancy
Sn1 Sn 0.333 0.667 0.196 1
Sn2 Sn 0.667 0.333 0.196 1
Sn3 Sn 0.333 0.667 0.804 1
Sn4 Sn 0.667 0.333 0.804 1
Mg1 Mg 0.000 0.000 0.000 1
K1 K 0.000 0.000 0.500 1
```